Run P
DFT (GGA-PBE) results for an optimized crystal structure of Nb5W2.

```
Nb5W2
1.0
-1.6289 1.6289 11.5517
1.6289 -1.6289 11.5517
1.6289 1.6289 -11.5517
Nb W
5 2
direct
0.0000 0.0000 0.0000 Nb
0.1459 0.1459 0.0000 Nb
0.4272 0.4272 0.0000 Nb
0.5728 0.5728 0.0000 Nb
0.8541 0.8541 0.0000 Nb
0.2834 0.2834 0.0000 W
0.7166 0.7166 0.0000 W
```

Density   11.271 Mg/m³
Crystal system   tetragonal


Run Q
DFT (GGA-PBE) results for an optimized crystal structure of Nb5W2.

```
Nb5W2
1.0
7.3781 -2.6755 0.0000
7.3781 2.6755 0.0000
-0.1281 0.0000 6.3520
Nb W
10 4
direct
0.0172 0.2656 0.5383 Nb
0.1169 0.8831 0.7500 Nb
0.1637 0.4146 0.8225 Nb
0.2656 0.0172 0.0383 Nb
0.4146 0.1637 0.3225 Nb
0.5854 0.8363 0.6775 Nb
0.7344 0.9828 0.9617 Nb
0.8363 0.5854 0.1775 Nb
0.8831 0.1169 0.2500 Nb
0.9828 0.7344 0.4617 Nb
0.3162 0.5493 0.1074 W
0.4507 0.6838 0.3926 W
0.5493 0.3162 0.6074 W
0.6838 0.4507 0.8926 W
```

Density   11.021 Mg/m³
Crystal system   monoclinic


Which structure is most stable, and how do the rest compare? From most to least stable: run P, run Q.


Run P
DFT (GGA-PBE) results for an optimized crystal structure of Y2NbW.

```
Y2NbW
1.0
0.0000 3.5915 3.5915
3.5915 0.0000 3.5915
3.5915 3.5915 0.0000
Y Nb W
2 1 1
direct
0.2500 0.2500 0.2500 Y
0.7500 0.7500 0.7500 Y
0.0000 0.0000 0.0000 Nb
0.5000 0.5000 0.5000 W
```

Density   8.147 Mg/m³
Crystal system   cubic


Run Q
DFT (GGA-PBE) results for an optimized crystal structure of Y2NbW.

```
Y2NbW
1.0
-4.0095 4.0095 2.9431
4.0095 -4.0095 2.9431
4.0095 4.0095 -2.9431
Y Nb W
4 2 2
direct
0.1124 0.6250 0.9874 Y
0.3750 0.3624 0.4874 Y
0.6376 0.1250 0.0126 Y
0.8750 0.8876 0.5126 Y
0.2500 0.7500 0.5000 Nb
0.5000 0.5000 0.0000 Nb
0.0000 0.0000 0.0000 W
0.7500 0.2500 0.5000 W
```

Density   7.977 Mg/m³
Crystal system   tetragonal


Which structure is most stable, and how do the rest compare? From most to least stable: run P, run Q.


Run P
DFT (GGA-PBE) results for an optimized crystal structure of YNbW3.

```
YNbW3
1.0
4.8501 0.0000 0.0000
0.0000 4.8501 0.0000
0.0000 0.0000 4.8501
Y Nb W
1 1 3
direct
0.0000 0.0000 0.0000 Y
0.5000 0.5000 0.5000 Nb
0.0000 0.5000 0.5000 W
0.5000 0.0000 0.5000 W
0.5000 0.5000 0.0000 W
```

Density   10.674 Mg/m³
Crystal system   cubic


Run Q
DFT (GGA-PBE) results for an optimized crystal structure of YNbW3.

```
YNbW3
1.0
4.7440 0.0000 0.0000
0.0000 4.7440 0.0000
0.0000 0.0000 4.7440
Y Nb W
1 1 3
direct
0.0000 0.0000 0.0000 Y
0.5000 0.5000 0.5000 Nb
0.0000 0.0000 0.5000 W
0.0000 0.5000 0.0000 W
0.5000 0.0000 0.0000 W
```

Density   11.406 Mg/m³
Crystal system   cubic


Which structure is most stable, and how do the rest compare? From most to least stable: run P, run Q.


Run P
DFT (GGA-PBE) results for an optimized crystal structure of Nb3ZnW.

```
Nb3ZnW
1.0
4.8789 0.0000 0.0000
0.0000 4.8789 0.0000
0.0000 0.0000 4.8789
Nb Zn W
3 1 1
direct
0.0000 0.0000 0.5000 Nb
0.0000 0.5000 0.0000 Nb
0.5000 0.0000 0.0000 Nb
0.5000 0.5000 0.5000 Zn
0.0000 0.0000 0.0000 W
```

Density   7.549 Mg/m³
Crystal system   cubic


Run Q
DFT (GGA-PBE) results for an optimized crystal structure of Nb3ZnW.

```
Nb3ZnW
1.0
4.6454 0.0000 0.0000
0.0000 4.6454 0.0000
0.0000 0.0000 4.6454
Nb Zn W
3 1 1
direct
0.0000 0.0000 0.5000 Nb
0.0000 0.5000 0.0000 Nb
0.5000 0.0000 0.0000 Nb
0.0000 0.0000 0.0000 Zn
0.5000 0.5000 0.5000 W
```

Density   8.746 Mg/m³
Crystal system   cubic


Which structure is most stable, and how do the rest compare? From most to least stable: run P, run Q.


Run P
DFT (GGA-PBE) results for an optimized crystal structure of YNbZn3.

```
YNbZn3
1.0
4.9068 0.0000 0.0000
0.0000 4.9068 0.0000
0.0000 0.0000 4.9068
Y Nb Zn
1 1 3
direct
0.0000 0.0000 0.0000 Y
0.5000 0.5000 0.5000 Nb
0.0000 0.5000 0.5000 Zn
0.5000 0.0000 0.5000 Zn
0.5000 0.5000 0.0000 Zn
```

Density   5.314 Mg/m³
Crystal system   cubic


Run Q
DFT (GGA-PBE) results for an optimized crystal structure of YNbZn3.

```
YNbZn3
1.0
5.0400 0.0000 0.0000
0.0000 5.0400 0.0000
0.0000 0.0000 5.0400
Y Nb Zn
1 1 3
direct
0.0000 0.0000 0.0000 Y
0.5000 0.5000 0.5000 Nb
0.0000 0.0000 0.5000 Zn
0.0000 0.5000 0.0000 Zn
0.5000 0.0000 0.0000 Zn
```

Density   4.903 Mg/m³
Crystal system   cubic


Which structure is most stable, and how do the rest compare? From most to least stable: run P, run Q.


Run P
DFT (GGA-PBE) results for an optimized crystal structure of YNbZn2.

```
YNbZn2
1.0
-2.1758 2.1758 9.5641
2.1758 -2.1758 9.5641
2.1758 2.1758 -9.5641
Y Nb Zn
2 2 4
direct
0.0000 0.0000 0.0000 Y
0.7500 0.2500 0.5000 Y
0.2500 0.7500 0.5000 Nb
0.5000 0.5000 0.0000 Nb
0.2194 0.6250 0.0944 Zn
0.3750 0.4694 0.5944 Zn
0.5306 0.1250 0.9056 Zn
0.8750 0.7806 0.4056 Zn
```

Density   5.733 Mg/m³
Crystal system   tetragonal


Run Q
DFT (GGA-PBE) results for an optimized crystal structure of YNbZn2.

```
YNbZn2
1.0
0.0000 3.3690 3.3690
3.3690 0.0000 3.3690
3.3690 3.3690 0.0000
Y Nb Zn
1 1 2
direct
0.0000 0.0000 0.0000 Y
0.5000 0.5000 0.5000 Nb
0.2500 0.2500 0.2500 Zn
0.7500 0.7500 0.7500 Zn
```

Density   6.788 Mg/m³
Crystal system   cubic


Which structure is most stable, and how do the rest compare? From most to least stable: run Q, run P.